(1)
A plane-wave DFT calculation with PBE-GGA was carried out for a geometry-optimized Cs3ScO3 structure.

Unit cell a=8.1398 b=7.4940 c=11.9560 alpha=90.00 beta=96.37 gamma=90.00
Space group P2_1/c (No. 14)
Unique sites:
Cs  0.0521  0.1257  0.1559 (multiplicity 4)
Cs  0.3439  0.1601  0.9242 (multiplicity 4)
Cs  0.3784  0.6755  0.8078 (multiplicity 4)
Sc  0.1491  0.5833  0.0670 (multiplicity 4)
O  0.1017  0.0572  0.4188 (multiplicity 4)
O  0.2350  0.6734  0.5448 (multiplicity 4)
O  0.2827  0.0428  0.6902 (multiplicity 4)

Computed properties:
Energy above the most stable polymorph in this dataset = 0 meV/atom
Formation energy without anion corrections = -1.99 eV/atom
Raw total energy = -5.385 eV/atom
Total magnetic moment = 0.2 Bohr magnetons per cell

***

(2)
A plane-wave DFT calculation with PBE-GGA was carried out for a geometry-optimized Cs3ScO3 structure.

Unit cell a=7.8372 b=14.6017 c=7.3536 alpha=90.00 beta=116.08 gamma=90.00
Space group P2_1/c (No. 14)
Unique sites:
Cs  0.0199  0.1813  0.4138 (multiplicity 4)
Cs  0.2282  0.0412  0.9882 (multiplicity 4)
Cs  0.4381  0.7013  0.6517 (multiplicity 4)
Sc  0.3515  0.5591  0.0148 (multiplicity 4)
O  0.1549  0.6281  0.7877 (multiplicity 4)
O  0.3442  0.5962  0.2693 (multiplicity 4)
O  0.3834  0.0786  0.4735 (multiplicity 4)

Computed properties:
Energy above the most stable polymorph in this dataset = 3 meV/atom
Formation energy without anion corrections = -1.99 eV/atom
Raw total energy = -5.382 eV/atom
Total magnetic moment = 0.4 Bohr magnetons per cell

***

(3)
A plane-wave DFT calculation with PBE-GGA was carried out for a geometry-optimized CsScO2 structure.

Unit cell a=4.4848 b=20.3940 c=4.0840 alpha=90.00 beta=90.00 gamma=90.00
Space group Cmcm (No. 63)
Unique sites:
Cs  0.0000  0.1864  0.2500 (multiplicity 4)
Sc  0.0000  0.4365  0.2500 (multiplicity 4)
O  0.0000  0.3443  0.2500 (multiplicity 4)
O  0.0000  0.4551  0.7500 (multiplicity 4)

Computed properties:
Formation energy without anion corrections = -2.26 eV/atom
Raw total energy = -6.539 eV/atom
Total magnetic moment = 0.0 Bohr magnetons per cell

***

(4)
A plane-wave DFT calculation with PBE-GGA was carried out for a geometry-optimized CsScO2 structure.

Unit cell a=6.3671 b=8.6051 c=6.3319 alpha=90.00 beta=90.00 gamma=90.00
Space group Pna2_1 (No. 33)
Unique sites:
Cs  0.0621  0.1222  0.0000 (multiplicity 4)
Sc  0.0440  0.6264  0.9899 (multiplicity 4)
O  0.0112  0.5427  0.6983 (multiplicity 4)
O  0.1598  0.1985  0.5261 (multiplicity 4)

Computed properties:
Formation energy without anion corrections = -2.70 eV/atom
Raw total energy = -6.974 eV/atom
Total magnetic moment = 0.0 Bohr magnetons per cell

***

(5)
A plane-wave DFT calculation with PBE-GGA was carried out for a geometry-optimized Cs3ScO3 structure.

Unit cell a=7.8245 b=12.6126 c=7.5576 alpha=90.00 beta=102.93 gamma=90.00
Space group C2/m (No. 12)
Unique sites:
Cs  0.0000  0.2099  0.0000 (multiplicity 4)
Cs  0.0000  0.2623  0.5000 (multiplicity 4)
Cs  0.1379  0.5000  0.8454 (multiplicity 4)
Sc  0.1605  0.0000  0.6511 (multiplicity 4)
O  0.1051  0.0000  0.3718 (multiplicity 4)
O  0.2197  0.3708  0.2329 (multiplicity 8)

Computed properties:
Energy above the most stable polymorph in this dataset = 6 meV/atom
Formation energy without anion corrections = -1.98 eV/atom
Raw total energy = -5.380 eV/atom
Total magnetic moment = 0.4 Bohr magnetons per cell

***

(6)
A plane-wave DFT calculation with PBE-GGA was carried out for a geometry-optimized CsScO2 structure.

Unit cell a=4.0778 b=4.0778 c=9.6889 alpha=90.00 beta=90.00 gamma=90.00
Space group P4/nmm (No. 129, origin choice 2)
Unique sites:
Cs  0.2500  0.2500  0.1465 (multiplicity 2)
Sc  0.2500  0.2500  0.5770 (multiplicity 2)
O  0.2500  0.2500  0.7698 (multiplicity 2)
O  0.2500  0.7500  0.5000 (multiplicity 2)

Computed properties:
Formation energy without anion corrections = -2.66 eV/atom
Raw total energy = -6.940 eV/atom
Total magnetic moment = 0.0 Bohr magnetons per cell